Density functional theory data (PBE) for a relaxed structure of Pm10Bi3Pb3.

Magnetic moment ... 0.017 μB/f.u.
Space group ... P-62m, No. 189
E_tot ... -5.0553 eV/atom
Fermi-level density of states ... 13.29 states/eV per cell
Theoretical density ... 8784 kg/m3

Cell lengths 9.3960, 9.3960, 6.6724 Å; angles 90.00, 90.00, 120.00 degrees
Closest atoms and distances in Å follow each position.
Fractional coordinates of all 16 atoms:
Pm  0.0000  0.2417  0.0000  3 Bi 3.21-3.46
Pm  0.0000  0.7582  0.5000  3 Pb 3.21-3.45
Pm  0.2417  0.0000  0.0000  3 Bi 3.21-3.46
Pm  0.2418  0.2418  0.5000  3 Pb 3.21-3.45
Pm  0.3333  0.6667  0.2508  2 Pm 3.33-3.35, 3 Pb 3.34, 3 Bi 3.35
Pm  0.3333  0.6667  0.7492  2 Pm 3.33-3.35, 3 Pb 3.34, 3 Bi 3.35
Pm  0.6667  0.3333  0.2508  2 Pm 3.33-3.35, 3 Pb 3.34, 3 Bi 3.35
Pm  0.6667  0.3333  0.7492  2 Pm 3.33-3.35, 3 Pb 3.34, 3 Bi 3.35
Pm  0.7582  0.0000  0.5000  3 Pb 3.21-3.45
Pm  0.7583  0.7583  0.0000  3 Bi 3.21-3.46
Bi  0.0000  0.6095  0.0000  7 Pm 3.21-3.46
Bi  0.3905  0.3905  0.0000  7 Pm 3.21-3.46
Bi  0.6095  0.0000  0.0000  7 Pm 3.21-3.46
Pb  0.0000  0.3908  0.5000  7 Pm 3.21-3.45
Pb  0.3908  0.0000  0.5000  7 Pm 3.21-3.45
Pb  0.6092  0.6092  0.5000  7 Pm 3.21-3.45